Record 1
Pt5Pb: optimized geometry, PBEsol.

Unit cell a=6.357 b=6.357 c=3.948 alpha=90.00 beta=90.00 gamma=142.55
Atoms (fractional coordinates):
Pt 0.000 0.000 0.000
Pt 0.168 0.832 0.500
Pt 0.328 0.672 0.000
Pt 0.672 0.328 0.000
Pt 0.832 0.168 0.500
Pb 0.500 0.500 0.500

- SG: Cmmm (65)
- Total magnetization: 0.0 μB per formula unit
- Energy of formation: 8.0 meV per atom
- VASP energy: -6.461 eV/atom

Record 2
PtPb4: optimized geometry, PBEsol.

Unit cell a=6.706 b=6.706 c=5.878 alpha=90.00 beta=90.00 gamma=90.00
Atoms (fractional coordinates):
Pt 0.250 0.250 0.000
Pt 0.750 0.750 0.000
Pb 0.079 0.579 0.252
Pb 0.079 0.921 0.748
Pb 0.421 0.579 0.748
Pb 0.421 0.921 0.252
Pb 0.579 0.079 0.748
Pb 0.579 0.421 0.252
Pb 0.921 0.079 0.252
Pb 0.921 0.421 0.748

- SG: P4/nbm (125)
- Total magnetization: 0.0 μB per formula unit
- Energy of formation: -115.9 meV per atom
- VASP energy: -4.708 eV/atom

Record 3
PtPb3: optimized geometry, PBEsol.

Unit cell a=5.888 b=5.888 c=5.888 alpha=143.45 beta=73.23 gamma=119.03
Atoms (fractional coordinates):
Pt 0.000 0.000 0.000
Pb 0.005 0.698 0.306
Pb 0.392 0.698 0.694
Pb 0.650 0.150 0.500

- SG: Imm2 (44)
- Total magnetization: 0.0 μB per formula unit
- Energy of formation: -36.5 meV per atom
- VASP energy: -4.776 eV/atom
- Relative energy among the computed polymorphs: 0.056 eV/atom

Record 4
PtPb3: optimized geometry, PBEsol.

Unit cell a=3.428 b=3.428 c=8.409 alpha=90.00 beta=90.00 gamma=90.00
Atoms (fractional coordinates):
Pt 0.000 0.000 0.000
Pb 0.000 0.000 0.500
Pb 0.500 0.500 0.200
Pb 0.500 0.500 0.800

- SG: P4/mmm (123)
- Total magnetization: 0.0 μB per formula unit
- Energy of formation: -45.9 meV per atom
- VASP energy: -4.786 eV/atom
- Relative energy among the computed polymorphs: 0.047 eV/atom